First-principles (PBE-GGA) data for a geometry-optimized TmMoCl structure, as listed in the Alexandria database.

Properties
calculated total energy: -6.433 eV per atom
SG: P1

Geometry as POSCAR:
```
TmMoCl
1.0
3.4274 0.0000 0.0000
-1.7133 2.9686 0.0000
-0.0268 -0.3506 13.8440
Tm Mo Cl
2 2 2
Direct
0.0000 0.0000 0.0000
0.3625 0.7179 0.4583
0.0182 0.0327 0.2859
0.3441 0.6855 0.1695
0.0381 0.0668 0.5925
0.6577 0.3175 0.8674
```

=====

First-principles (PBE-GGA) data for a geometry-optimized VMoCl3 structure, as listed in the Alexandria database.

Properties
SG: Pm-3m
offset from the most stable computed form: 0.245 eV/atom

Geometry as POSCAR:
```
VMoCl3
1.0
4.9523 0.0000 0.0000
0.0000 4.9523 0.0000
0.0000 0.0000 4.9523
V Mo Cl
1 1 3
Direct
0.0000 0.0000 0.0000
0.5000 0.5000 0.5000
0.0000 0.5000 0.5000
0.5000 0.0000 0.5000
0.5000 0.5000 0.0000
```

=====

First-principles (PBE-GGA) data for a geometry-optimized VMoCl3 structure, as listed in the Alexandria database.

Properties
SG: Pm-3m
offset from the most stable computed form: 0.000 eV/atom

Geometry as POSCAR:
```
VMoCl3
1.0
4.8942 0.0000 0.0000
0.0000 4.8942 0.0000
0.0000 0.0000 4.8942
V Mo Cl
1 1 3
Direct
0.0000 0.0000 0.0000
0.5000 0.5000 0.5000
0.0000 0.0000 0.5000
0.0000 0.5000 0.0000
0.5000 0.0000 0.0000
```

=====

First-principles (PBE-GGA) data for a geometry-optimized VMo3Cl structure, as listed in the Alexandria database.

Properties
SG: Pm-3m
offset from the most stable computed form: 0.584 eV/atom

Geometry as POSCAR:
```
VMo3Cl
1.0
4.6049 0.0000 0.0000
0.0000 4.6049 0.0000
0.0000 0.0000 4.6049
V Mo Cl
1 3 1
Direct
0.0000 0.0000 0.0000
0.0000 0.0000 0.5000
0.0000 0.5000 0.0000
0.5000 0.0000 0.0000
0.5000 0.5000 0.5000
```